CaPtCl2: optimized geometry, PBE.

Summary:
Total moment = 0.0 μB/f.u.
Energy above the lowest structure with this stoichiometry = 282.7 meV/atom
Raw formation energy = -0.779 eV/atom
Total energy = -3.713 eV per atom

Cell lengths 6.8373, 6.8373, 6.8373 Å; angles 90.00, 90.00, 90.00 degrees
Last column: nearest neighbours and their distance in Å.
Space group Fm-3m (No. 225)
Unique sites:
Ca 0.0000 0.0000 0.0000 [4 per cell]  8 Cl 2.96
Pt 0.0000 0.0000 0.5000 [4 per cell]  8 Cl 2.96
Cl 0.2500 0.2500 0.2500 [8 per cell]  4 Ca 2.96, 4 Pt 2.96